# Ba8As5O PBE optimized geometry
data_Ba8As5O
_symmetry_space_group_name_H-M 'I -4'
_symmetry_Int_Tables_number 82
_cell_length_a 9.835
_cell_length_b 9.835
_cell_length_c 10.231
_cell_angle_alpha 90.00
_cell_angle_beta 90.00
_cell_angle_gamma 90.00
loop_
_symmetry_equiv_pos_as_xyz
'x,y,z'
'y,-x,-z'
'-x,-y,z'
'-y,x,-z'
'x+1/2,y+1/2,z+1/2'
'y+1/2,-x+1/2,-z+1/2'
'-x+1/2,-y+1/2,z+1/2'
'-y+1/2,x+1/2,-z+1/2'
loop_
_atom_site_label
_atom_site_fract_x
_atom_site_fract_y
_atom_site_fract_z
Ba1 0.051 0.221 0.302
Ba2 0.077 0.311 0.923
As1 0.000 0.000 0.000
As2 0.133 0.254 0.614
O1 0.000 0.500 0.250
# Formation energy (no corrections), meV per atom: -1199

---

# KLi2LaIr PBE optimized geometry
data_KLi2LaIr
_symmetry_space_group_name_H-M 'P 4/m m m'
_symmetry_Int_Tables_number 123
_symmetry_space_group_name_Hall '-P 4 2'
_cell_length_a 4.370
_cell_length_b 4.370
_cell_length_c 5.998
_cell_angle_alpha 90.00
_cell_angle_beta 90.00
_cell_angle_gamma 90.00
loop_
_atom_site_label
_atom_site_fract_x
_atom_site_fract_y
_atom_site_fract_z
K1 0.000 0.000 0.000
Li1 0.000 0.500 0.000
La1 0.000 0.000 0.500
Ir1 0.500 0.500 0.500
# E_form, eV/atom: 0.961
# Energy above the most stable polymorph in this dataset, meV/atom: 938.4

---

# AcLa2Tb2Dy2 PBE optimized geometry
data_AcLa2Tb2Dy2
_symmetry_space_group_name_H-M 'C 1 2/m 1'
_symmetry_Int_Tables_number 12
_cell_length_a 11.658
_cell_length_b 5.215
_cell_length_c 8.173
_cell_angle_alpha 90.00
_cell_angle_beta 98.38
_cell_angle_gamma 90.00
loop_
_symmetry_equiv_pos_as_xyz
'x,y,z'
'-x,-y,-z'
'-x,y,-z'
'x,-y,z'
'x+1/2,y+1/2,z'
'-x+1/2,-y+1/2,-z'
'-x+1/2,y+1/2,-z'
'x+1/2,-y+1/2,z'
loop_
_atom_site_label
_atom_site_fract_x
_atom_site_fract_y
_atom_site_fract_z
Ac1 0.000 0.000 0.000
La1 0.215 0.500 0.151
Tb1 0.074 0.500 0.704
Dy1 0.141 0.000 0.432
# E_form, eV/atom: 0.044

---

Repeat the first record exactly.
# Ba8As5O PBE optimized geometry
data_Ba8As5O
_symmetry_space_group_name_H-M 'I -4'
_symmetry_Int_Tables_number 82
_cell_length_a 9.835
_cell_length_b 9.835
_cell_length_c 10.231
_cell_angle_alpha 90.00
_cell_angle_beta 90.00
_cell_angle_gamma 90.00
loop_
_symmetry_equiv_pos_as_xyz
'x,y,z'
'y,-x,-z'
'-x,-y,z'
'-y,x,-z'
'x+1/2,y+1/2,z+1/2'
'y+1/2,-x+1/2,-z+1/2'
'-x+1/2,-y+1/2,z+1/2'
'-y+1/2,x+1/2,-z+1/2'
loop_
_atom_site_label
_atom_site_fract_x
_atom_site_fract_y
_atom_site_fract_z
Ba1 0.051 0.221 0.302
Ba2 0.077 0.311 0.923
As1 0.000 0.000 0.000
As2 0.133 0.254 0.614
O1 0.000 0.500 0.250
# Formation energy (no corrections), meV per atom: -1199